Entry from the Open Quantum Materials Database: a relaxed structure of MgCdTeO (GGA-PBE).

```
MgCdTeO
1.0
-4.973 3.331 -1.412
-1.960 -3.353 -1.008
-4.427 -1.229 12.691
Mg Te O Cd
4 4 4 4
Direct
0.085 0.250 0.287
0.585 0.250 0.213
0.915 0.750 0.713
0.415 0.750 0.787
0.232 0.250 0.912
0.768 0.750 0.088
0.268 0.750 0.412
0.732 0.250 0.588
0.717 0.750 0.824
0.217 0.750 0.676
0.283 0.250 0.176
0.783 0.250 0.324
0.249 0.250 0.584
0.749 0.250 0.916
0.251 0.750 0.084
0.751 0.750 0.416
```

Computed properties:
Symmetry ... Pnma
Total energy ... -3.79 eV per atom